(1)
HfNi2B4 | GGA-PBE | optimized geometry

Calculated values
distance to the lowest polymorph of the same formula: 39.09 kcal/mol of atoms
symmetry: No. 139
total moment: 0.000 μB per cell

a = 6.1255 Å, b = 6.1255 Å, c = 6.1255 Å
α = 139.72°, β = 139.72°, γ = 58.29°
Last column: nearest neighbours and their distance in Å.
Sites, in units of the cell vectors:
Hf (0.0000, 0.0000, 0.0000)  4 B 2.11
Ni (0.3953, 0.3953, 0.0000)  1 B 1.81
Ni (0.6047, 0.6047, 0.0000)  1 B 1.81
B (0.0000, 0.5000, 0.5000)  2 Hf 2.11
B (0.2259, 0.2259, 0.0000)  1 Ni 1.81
B (0.5000, 0.0000, 0.5000)  2 Hf 2.11
B (0.7741, 0.7741, 0.0000)  1 Ni 1.81


(2)
Hf2Ni21B6 | GGA-PBE | optimized geometry

Calculated values
symmetry: No. 225
total moment: 0.000 μB per cell

a = 7.4815 Å, b = 7.4815 Å, c = 7.4815 Å
α = 60.00°, β = 60.00°, γ = 60.00°
Last column: nearest neighbours and their distance in Å.
Sites, in units of the cell vectors:
Hf (0.2500, 0.2500, 0.2500)  4 Ni 2.49
Hf (0.7500, 0.7500, 0.7500)  4 Ni 2.49
Ni (0.0000, 0.0000, 0.0000)  12 Ni 2.54
Ni (0.0000, 0.0000, 0.3392)  2 B 2.08
Ni (0.0000, 0.0000, 0.6608)  2 B 2.08
Ni (0.0000, 0.3392, 0.0000)  2 B 2.08
Ni (0.0000, 0.3392, 0.6608)  2 B 2.08
Ni (0.0000, 0.6608, 0.0000)  2 B 2.08
Ni (0.0000, 0.6608, 0.3392)  2 B 2.08
Ni (0.1576, 0.6141, 0.6141)  3 B 2.11
Ni (0.3392, 0.0000, 0.0000)  2 B 2.08
Ni (0.3392, 0.0000, 0.6608)  2 B 2.08
Ni (0.3392, 0.6608, 0.0000)  2 B 2.08
Ni (0.3859, 0.3859, 0.3859)  3 B 2.11
Ni (0.3859, 0.3859, 0.8424)  3 B 2.11
Ni (0.3859, 0.8424, 0.3859)  3 B 2.11
Ni (0.6141, 0.1576, 0.6141)  3 B 2.11
Ni (0.6141, 0.6141, 0.1576)  3 B 2.11
Ni (0.6141, 0.6141, 0.6141)  3 B 2.11
Ni (0.6608, 0.0000, 0.0000)  2 B 2.08
Ni (0.6608, 0.0000, 0.3392)  2 B 2.08
Ni (0.6608, 0.3392, 0.0000)  2 B 2.08
Ni (0.8424, 0.3859, 0.3859)  3 B 2.11
B (0.2688, 0.2688, 0.7312)  8 Ni 2.08-2.11
B (0.2688, 0.7312, 0.2688)  8 Ni 2.08-2.11
B (0.2688, 0.7312, 0.7312)  8 Ni 2.08-2.11
B (0.7312, 0.2688, 0.2688)  8 Ni 2.08-2.11
B (0.7312, 0.2688, 0.7312)  8 Ni 2.08-2.11
B (0.7312, 0.7312, 0.2688)  8 Ni 2.08-2.11


(3)
Hf3NiB7 | GGA-PBE | optimized geometry

Calculated values
symmetry: No. 63
total moment: 0.000 μB per cell

a = 7.5403 Å, b = 7.5403 Å, c = 8.9533 Å
α = 90.00°, β = 90.00°, γ = 154.91°
Last column: nearest neighbours and their distance in Å.
Sites, in units of the cell vectors:
Hf (0.1066, 0.8934, 0.5541)  11 B 2.46-2.53
Hf (0.1066, 0.8934, 0.9459)  11 B 2.46-2.53
Hf (0.2458, 0.7542, 0.2500)  10 B 2.51-2.58
Hf (0.7542, 0.2458, 0.7500)  10 B 2.51-2.58
Hf (0.8934, 0.1066, 0.0541)  11 B 2.46-2.53
Hf (0.8934, 0.1066, 0.4459)  11 B 2.46-2.53
Ni (0.0493, 0.9507, 0.2500)  10 B 2.22-2.31
Ni (0.9507, 0.0493, 0.7500)  10 B 2.22-2.31
B (0.2737, 0.7263, 0.5341)  3 B 1.74-1.88
B (0.2737, 0.7263, 0.9659)  3 B 1.74-1.88
B (0.3681, 0.6319, 0.6506)  3 B 1.74-1.79
B (0.3681, 0.6319, 0.8494)  3 B 1.74-1.79
B (0.4388, 0.5612, 0.2500)  2 B 1.81
B (0.4844, 0.5156, 0.5921)  3 B 1.71-1.81
B (0.4844, 0.5156, 0.9079)  3 B 1.71-1.81
B (0.5156, 0.4844, 0.0921)  3 B 1.71-1.81
B (0.5156, 0.4844, 0.4079)  3 B 1.71-1.81
B (0.5612, 0.4388, 0.7500)  2 B 1.81
B (0.6319, 0.3681, 0.1506)  3 B 1.74-1.79
B (0.6319, 0.3681, 0.3494)  3 B 1.74-1.79
B (0.7263, 0.2737, 0.0341)  3 B 1.74-1.88
B (0.7263, 0.2737, 0.4659)  3 B 1.74-1.88


(4)
HfNi12B5 | GGA-PBE | optimized geometry

Calculated values
symmetry: No. 71
total moment: 0.000 μB per cell

a = 6.1612 Å, b = 6.1612 Å, c = 6.1612 Å
α = 113.03°, β = 112.69°, γ = 102.89°
Last column: nearest neighbours and their distance in Å.
Sites, in units of the cell vectors:
Hf (0.0000, 0.0000, 0.0000)  12 Ni 2.52-2.63
Ni (0.1368, 0.8196, 0.3173)  3 B 2.01-2.10
Ni (0.2181, 0.3184, 0.5365)  4 B 2.12-2.29
Ni (0.2181, 0.6816, 0.8997)  4 B 2.12-2.29
Ni (0.2841, 0.0999, 0.8158)  2 B 2.04-2.08
Ni (0.2841, 0.4683, 0.1842)  2 B 2.04-2.08
Ni (0.4977, 0.1804, 0.3173)  3 B 2.01-2.10
Ni (0.5023, 0.8196, 0.6827)  3 B 2.01-2.10
Ni (0.7159, 0.5317, 0.8158)  2 B 2.04-2.08
Ni (0.7159, 0.9001, 0.1842)  2 B 2.04-2.08
Ni (0.7819, 0.3184, 0.1003)  4 B 2.12-2.29
Ni (0.7819, 0.6816, 0.4635)  4 B 2.12-2.29
Ni (0.8632, 0.1804, 0.6827)  3 B 2.01-2.10
B (0.1137, 0.6137, 0.5000)  1 B 1.75
B (0.5000, 0.1404, 0.6404)  1 B 1.91, 6 Ni 2.04-2.10
B (0.5000, 0.5000, 0.0000)  8 Ni 2.08-2.29
B (0.5000, 0.8596, 0.3596)  1 B 1.91, 6 Ni 2.04-2.10
B (0.8863, 0.3863, 0.5000)  1 B 1.75


(5)
HfNi8B2 | GGA-PBE | optimized geometry

Calculated values
symmetry: No. 12
total moment: 0.000 μB per cell

a = 6.5929 Å, b = 6.5929 Å, c = 4.0905 Å
α = 99.98°, β = 99.98°, γ = 43.12°
Last column: nearest neighbours and their distance in Å.
Sites, in units of the cell vectors:
Hf (0.0000, 0.0000, 0.0000)  14 Ni 2.57-2.86
Ni (0.1248, 0.6313, 0.4558)  2 B 2.06-2.13
Ni (0.2131, 0.2131, 0.1004)  2 B 2.08-2.17
Ni (0.3687, 0.8752, 0.5442)  2 B 2.06-2.13
Ni (0.4022, 0.4022, 0.9737)  1 B 2.00
Ni (0.5978, 0.5978, 0.0263)  1 B 2.00
Ni (0.6313, 0.1248, 0.4558)  2 B 2.06-2.13
Ni (0.7869, 0.7869, 0.8996)  2 B 2.08-2.17
Ni (0.8752, 0.3687, 0.5442)  2 B 2.06-2.13
B (0.2610, 0.2610, 0.6375)  7 Ni 2.00-2.17
B (0.7390, 0.7390, 0.3625)  7 Ni 2.00-2.17


(6)
HfNi3B3 | GGA-PBE | optimized geometry

Calculated values
symmetry: No. 176
total moment: 0.000 μB per cell

a = 7.4184 Å, b = 7.4184 Å, c = 3.0857 Å
α = 90.00°, β = 90.00°, γ = 120.00°
Last column: nearest neighbours and their distance in Å.
Sites, in units of the cell vectors:
Hf (0.3333, 0.6667, 0.2500)  9 B 2.44-2.48
Hf (0.6667, 0.3333, 0.7500)  9 B 2.44-2.48
Ni (0.0821, 0.3223, 0.7500)  4 B 2.08-2.16
Ni (0.2402, 0.9179, 0.7500)  4 B 2.08-2.16
Ni (0.3223, 0.2402, 0.2500)  4 B 2.08-2.16
Ni (0.6777, 0.7598, 0.7500)  4 B 2.08-2.16
Ni (0.7598, 0.0821, 0.2500)  4 B 2.08-2.16
Ni (0.9179, 0.6777, 0.2500)  4 B 2.08-2.16
B (0.0399, 0.5835, 0.7500)  2 B 1.88, 2 Ni 2.08
B (0.4165, 0.4565, 0.7500)  2 B 1.88, 2 Ni 2.08
B (0.4565, 0.0399, 0.2500)  2 B 1.88, 2 Ni 2.08
B (0.5435, 0.9601, 0.7500)  2 B 1.88, 2 Ni 2.08
B (0.5835, 0.5435, 0.2500)  2 B 1.88, 2 Ni 2.08
B (0.9601, 0.4165, 0.2500)  2 B 1.88, 2 Ni 2.08


no.,D(E_F) (states/eV per atom),energy of formation from the pure elements (eV/f.u.)
1,0.4737,8.47
2,0.5596,-11.38
3,0.3424,-8.50
4,0.4795,-4.12
5,0.4900,-2.86
6,0.8137,-2.39